# 1
Material: Pm2TmIn3Te6
Method: DFT, PBE
State: optimized geometry

Lattice parameters (Å, degrees): 7.721 7.721 8.509 98.70 98.70 119.99
Atoms (fractional coordinates):
Pm (0.166, 0.834, 0.000)
Pm (0.834, 0.166, 0.000)
Tm (0.500, 0.500, 0.000)
In (0.000, 0.000, 0.500)
In (0.331, 0.669, 0.500)
In (0.669, 0.331, 0.500)
Te (0.102, 0.426, 0.779)
Te (0.250, 0.250, 0.224)
Te (0.426, 0.102, 0.779)
Te (0.574, 0.898, 0.221)
Te (0.750, 0.750, 0.776)
Te (0.898, 0.574, 0.221)

Properties
Calculated density, g cm⁻³: 6.22
E_form (uncorrected), eV per formula unit: -11.7
V, A^3/atom: 34.9

# 2
Material: PmUIn2Te4
Method: DFT, PBE
State: optimized geometry

Lattice parameters (Å, degrees): 7.675 4.433 8.596 90.00 107.31 90.00
Atoms (fractional coordinates):
Pm (0.000, 0.000, 0.000)
U (0.500, 0.500, 0.000)
In (0.000, 0.500, 0.500)
In (0.500, 0.000, 0.500)
Te (0.246, 0.500, 0.225)
Te (0.263, 0.000, 0.777)
Te (0.737, 0.000, 0.223)
Te (0.754, 0.500, 0.775)

Properties
Calculated density, g cm⁻³: 6.68
E_form (uncorrected), eV per formula unit: -5.6
V, A^3/atom: 34.9

# 3
Material: PmU3In3Te8
Method: DFT, PBE
State: optimized geometry

Lattice parameters (Å, degrees): 9.644 9.644 9.644 53.99 53.99 53.99
Atoms (fractional coordinates):
Pm (0.000, 0.000, 0.000)
U (0.000, 0.500, 0.500)
U (0.500, 0.000, 0.500)
U (0.500, 0.500, 0.000)
In (0.000, 0.000, 0.500)
In (0.000, 0.500, 0.000)
In (0.500, 0.000, 0.000)
Te (0.244, 0.244, 0.734)
Te (0.244, 0.734, 0.244)
Te (0.259, 0.259, 0.259)
Te (0.266, 0.756, 0.756)
Te (0.734, 0.244, 0.244)
Te (0.741, 0.741, 0.741)
Te (0.756, 0.266, 0.756)
Te (0.756, 0.756, 0.266)

Properties
Calculated density, g cm⁻³: 6.77
E_form (uncorrected), eV per formula unit: -9.3
V, A^3/atom: 36.4

# 4
Material: PmY2In3Te6
Method: DFT, PBE
State: optimized geometry

Lattice parameters (Å, degrees): 7.697 7.697 8.501 98.68 98.68 120.00
Atoms (fractional coordinates):
Pm (0.000, 0.000, 0.000)
Y (0.333, 0.667, 0.000)
Y (0.667, 0.333, 0.000)
In (0.165, 0.835, 0.500)
In (0.500, 0.500, 0.500)
In (0.835, 0.165, 0.500)
Te (0.074, 0.413, 0.222)
Te (0.266, 0.266, 0.780)
Te (0.413, 0.074, 0.222)
Te (0.587, 0.926, 0.778)
Te (0.734, 0.734, 0.220)
Te (0.926, 0.587, 0.778)

Properties
Calculated density, g cm⁻³: 5.72
E_form (uncorrected), eV per formula unit: -11.8
V, A^3/atom: 34.7

# 5
Material: PmThIn
Method: DFT, PBE
State: optimized geometry

Lattice parameters (Å, degrees): 6.377 6.377 5.713 90.00 90.00 95.28
Atoms (fractional coordinates):
Pm (0.000, 0.000, 0.000)
Pm (0.500, 0.500, 0.500)
Th (0.171, 0.829, 0.500)
Th (0.829, 0.171, 0.500)
In (0.337, 0.337, 0.000)
In (0.663, 0.663, 0.000)

Properties
Calculated density, g cm⁻³: 7.06
DFT formation energy, eV/atom: 0.734
Offset from the most stable computed form, eV per formula unit: 2.964
V, A^3/atom: 38.6

# 6
Material: Pm5ThIn3
Method: DFT, PBE
State: optimized geometry

Lattice parameters (Å, degrees): 9.605 9.605 6.827 90.00 90.00 120.00
Atoms (fractional coordinates):
Pm (0.000, 0.329, 0.250)
Pm (0.000, 0.671, 0.750)
Pm (0.329, 0.000, 0.250)
Pm (0.329, 0.329, 0.750)
Pm (0.333, 0.667, 0.000)
Pm (0.333, 0.667, 0.500)
Pm (0.667, 0.333, 0.000)
Pm (0.667, 0.333, 0.500)
Pm (0.671, 0.000, 0.750)
Pm (0.671, 0.671, 0.250)
Th (0.000, 0.000, 0.000)
Th (0.000, 0.000, 0.500)
In (0.000, 0.337, 0.750)
In (0.000, 0.663, 0.250)
In (0.337, 0.000, 0.750)
In (0.337, 0.337, 0.250)
In (0.663, 0.000, 0.250)
In (0.663, 0.663, 0.750)

Properties
Calculated density, g cm⁻³: 7.92
DFT formation energy, eV/atom: -0.315
V, A^3/atom: 30.3

# 7
Material: PmThIn
Method: DFT, PBE
State: optimized geometry

Lattice parameters (Å, degrees): 8.327 8.327 4.992 90.00 90.00 148.38
Atoms (fractional coordinates):
Pm (0.075, 0.925, 0.750)
Pm (0.925, 0.075, 0.250)
Th (0.242, 0.758, 0.250)
Th (0.758, 0.242, 0.750)
In (0.410, 0.590, 0.750)
In (0.590, 0.410, 0.250)

Properties
Calculated density, g cm⁻³: 9.00
DFT formation energy, eV/atom: -0.254
Offset from the most stable computed form, eV per formula unit: 0.000
V, A^3/atom: 30.2

# 8
Material: Pm12ThIn3
Method: DFT, PBE
State: optimized geometry

Lattice parameters (Å, degrees): 4.982 4.982 20.123 90.00 90.00 90.00
Atoms (fractional coordinates):
Pm (0.000, 0.000, 0.000)
Pm (0.000, 0.000, 0.246)
Pm (0.000, 0.000, 0.500)
Pm (0.000, 0.000, 0.754)
Pm (0.000, 0.500, 0.123)
Pm (0.000, 0.500, 0.372)
Pm (0.000, 0.500, 0.628)
Pm (0.000, 0.500, 0.877)
Pm (0.500, 0.000, 0.123)
Pm (0.500, 0.000, 0.372)
Pm (0.500, 0.000, 0.628)
Pm (0.500, 0.000, 0.877)
Th (0.500, 0.500, 0.500)
In (0.500, 0.500, 0.000)
In (0.500, 0.500, 0.245)
In (0.500, 0.500, 0.755)

Properties
Calculated density, g cm⁻³: 7.70
DFT formation energy, eV/atom: -0.187
V, A^3/atom: 31.2

# 9
Material: Pm2ThIn3
Method: DFT, PBE
State: optimized geometry

Lattice parameters (Å, degrees): 3.573 3.573 13.359 90.00 90.00 90.00
Atoms (fractional coordinates):
Pm (0.000, 0.000, 0.164)
Pm (0.000, 0.000, 0.836)
Th (0.000, 0.000, 0.500)
In (0.500, 0.500, 0.000)
In (0.500, 0.500, 0.330)
In (0.500, 0.500, 0.670)

Properties
Calculated density, g cm⁻³: 8.44
DFT formation energy, eV/atom: -0.420
V, A^3/atom: 28.4

# 10
Material: Pm6ThIn
Method: DFT, PBE
State: optimized geometry

Lattice parameters (Å, degrees): 5.022 5.022 10.171 90.00 90.00 90.00
Atoms (fractional coordinates):
Pm (0.000, 0.000, 0.000)
Pm (0.000, 0.000, 0.500)
Pm (0.000, 0.500, 0.247)
Pm (0.000, 0.500, 0.753)
Pm (0.500, 0.000, 0.247)
Pm (0.500, 0.000, 0.753)
Th (0.500, 0.500, 0.500)
In (0.500, 0.500, 0.000)

Properties
Calculated density, g cm⁻³: 7.88
DFT formation energy, eV/atom: -0.096
V, A^3/atom: 32.1

# 11
Material: Pm2ThIn9
Method: DFT, PBE
State: optimized geometry

Lattice parameters (Å, degrees): 4.712 4.712 14.153 90.00 90.00 90.00
Atoms (fractional coordinates):
Pm (0.000, 0.000, 0.166)
Pm (0.000, 0.000, 0.834)
Th (0.000, 0.000, 0.500)
In (0.000, 0.500, 0.000)
In (0.000, 0.500, 0.331)
In (0.000, 0.500, 0.669)
In (0.500, 0.000, 0.000)
In (0.500, 0.000, 0.331)
In (0.500, 0.000, 0.669)
In (0.500, 0.500, 0.165)
In (0.500, 0.500, 0.500)
In (0.500, 0.500, 0.835)

Properties
Calculated density, g cm⁻³: 8.22
DFT formation energy, eV/atom: -0.434
V, A^3/atom: 26.2

# 12
Material: Pm5ThIn6
Method: DFT, PBE
State: optimized geometry

Lattice parameters (Å, degrees): 9.428 9.428 5.451 106.58 106.58 48.17
Atoms (fractional coordinates):
Pm (0.000, 0.000, 0.000)
Pm (0.170, 0.170, 0.670)
Pm (0.339, 0.339, 0.339)
Pm (0.661, 0.661, 0.661)
Pm (0.830, 0.830, 0.330)
Th (0.500, 0.500, 0.000)
In (0.076, 0.587, 0.831)
In (0.239, 0.761, 0.500)
In (0.413, 0.924, 0.169)
In (0.587, 0.076, 0.831)
In (0.761, 0.239, 0.500)
In (0.924, 0.413, 0.169)

Properties
Calculated density, g cm⁻³: 7.97
DFT formation energy, eV/atom: -0.445
V, A^3/atom: 28.6

# 13
Material: Pm3ThIn2
Method: DFT, PBE
State: optimized geometry

Lattice parameters (Å, degrees): 3.658 3.658 13.414 90.00 90.00 90.00
Atoms (fractional coordinates):
Pm (0.000, 0.000, 0.000)
Pm (0.000, 0.000, 0.318)
Pm (0.000, 0.000, 0.682)
Th (0.500, 0.500, 0.500)
In (0.500, 0.500, 0.160)
In (0.500, 0.500, 0.840)

Properties
Calculated density, g cm⁻³: 8.30
DFT formation energy, eV/atom: -0.317
V, A^3/atom: 29.9

# 14
Material: PmTh2In9
Method: DFT, PBE
State: optimized geometry

Lattice parameters (Å, degrees): 4.728 4.728 14.164 90.00 90.00 90.00
Atoms (fractional coordinates):
Pm (0.000, 0.000, 0.000)
Th (0.000, 0.000, 0.332)
Th (0.000, 0.000, 0.668)
In (0.000, 0.500, 0.164)
In (0.000, 0.500, 0.500)
In (0.000, 0.500, 0.836)
In (0.500, 0.000, 0.164)
In (0.500, 0.000, 0.500)
In (0.500, 0.000, 0.836)
In (0.500, 0.500, 0.000)
In (0.500, 0.500, 0.332)
In (0.500, 0.500, 0.668)

Properties
Calculated density, g cm⁻³: 8.61
DFT formation energy, eV/atom: -0.391
V, A^3/atom: 26.4

# 15
Material: PmThIn
Method: DFT, PBE
State: optimized geometry

Lattice parameters (Å, degrees): 5.971 5.971 5.971 139.45 139.45 58.69
Atoms (fractional coordinates):
Pm (0.000, 0.000, 0.000)
Th (0.317, 0.317, 0.000)
In (0.655, 0.655, 0.000)

Properties
Calculated density, g cm⁻³: 9.16
DFT formation energy, eV/atom: -0.178
Offset from the most stable computed form, eV per formula unit: 0.226
V, A^3/atom: 29.7

# 16
Material: Pm4ThIn2
Method: DFT, PBE
State: optimized geometry

Lattice parameters (Å, degrees): 7.557 7.557 7.557 132.77 132.77 69.01
Atoms (fractional coordinates):
Pm (0.000, 0.500, 0.500)
Pm (0.250, 0.750, 0.500)
Pm (0.500, 0.000, 0.500)
Pm (0.750, 0.250, 0.500)
Th (0.000, 0.000, 0.000)
In (0.373, 0.373, 0.000)
In (0.627, 0.627, 0.000)

Properties
Calculated density, g cm⁻³: 7.58
DFT formation energy, eV/atom: 0.161
V, A^3/atom: 32.6

# 17
Material: Pm4ThIn3
Method: DFT, PBE
State: optimized geometry

Lattice parameters (Å, degrees): 4.626 4.959 10.227 90.00 90.00 90.00
Atoms (fractional coordinates):
Pm (0.000, 0.000, 0.000)
Pm (0.000, 0.000, 0.500)
Pm (0.000, 0.500, 0.237)
Pm (0.000, 0.500, 0.763)
Th (0.500, 0.500, 0.500)
In (0.500, 0.000, 0.255)
In (0.500, 0.000, 0.745)
In (0.500, 0.500, 0.000)

Properties
Calculated density, g cm⁻³: 8.18
DFT formation energy, eV/atom: -0.316
V, A^3/atom: 29.3

# 18
Material: Pm3Th2In3
Method: DFT, PBE
State: optimized geometry

Lattice parameters (Å, degrees): 10.883 10.883 10.883 155.67 153.42 36.34
Atoms (fractional coordinates):
Pm (0.000, 0.000, 0.000)
Pm (0.380, 0.880, 0.500)
Pm (0.620, 0.120, 0.500)
Th (0.243, 0.243, 0.000)
Th (0.757, 0.757, 0.000)
In (0.124, 0.624, 0.500)
In (0.500, 0.500, 0.000)
In (0.876, 0.376, 0.500)

Properties
Calculated density, g cm⁻³: 8.70
DFT formation energy, eV/atom: -0.304
V, A^3/atom: 29.7

# 19
Material: Pm2ThIn6
Method: DFT, PBE
State: optimized geometry

Lattice parameters (Å, degrees): 8.785 8.785 3.612 90.00 90.00 120.00
Atoms (fractional coordinates):
Pm (0.333, 0.667, 0.000)
Pm (0.667, 0.333, 0.000)
Th (0.000, 0.000, 0.000)
In (0.000, 0.335, 0.500)
In (0.000, 0.665, 0.500)
In (0.335, 0.000, 0.500)
In (0.335, 0.335, 0.500)
In (0.665, 0.000, 0.500)
In (0.665, 0.665, 0.500)

Properties
Calculated density, g cm⁻³: 8.33
DFT formation energy, eV/atom: -0.403
V, A^3/atom: 26.8

# 20
Material: PmThIn6
Method: DFT, PBE
State: optimized geometry

Lattice parameters (Å, degrees): 4.720 4.720 9.438 90.00 90.00 90.00
Atoms (fractional coordinates):
Pm (0.000, 0.000, 0.000)
Th (0.000, 0.000, 0.500)
In (0.000, 0.500, 0.247)
In (0.000, 0.500, 0.753)
In (0.500, 0.000, 0.247)
In (0.500, 0.000, 0.753)
In (0.500, 0.500, 0.000)
In (0.500, 0.500, 0.500)

Properties
Calculated density, g cm⁻³: 8.42
DFT formation energy, eV/atom: -0.413
V, A^3/atom: 26.3

# 21
Material: Pm2Th2In3
Method: DFT, PBE
State: optimized geometry

Lattice parameters (Å, degrees): 12.725 12.725 3.670 98.22 98.22 20.28
Atoms (fractional coordinates):
Pm (0.070, 0.070, 0.070)
Pm (0.930, 0.930, 0.930)
Th (0.209, 0.209, 0.208)
Th (0.791, 0.791, 0.792)
In (0.360, 0.360, 0.361)
In (0.500, 0.500, 0.500)
In (0.640, 0.640, 0.639)

Properties
Calculated density, g cm⁻³: 8.95
DFT formation energy, eV/atom: -0.328
V, A^3/atom: 29.1

# 22
Material: Pm5ThIn4
Method: DFT, PBE
State: optimized geometry

Lattice parameters (Å, degrees): 3.609 3.609 22.419 90.00 90.00 90.00
Atoms (fractional coordinates):
Pm (0.000, 0.000, 0.000)
Pm (0.000, 0.000, 0.195)
Pm (0.000, 0.000, 0.390)
Pm (0.000, 0.000, 0.610)
Pm (0.000, 0.000, 0.805)
Th (0.500, 0.500, 0.500)
In (0.500, 0.500, 0.098)
In (0.500, 0.500, 0.293)
In (0.500, 0.500, 0.707)
In (0.500, 0.500, 0.902)

Properties
Calculated density, g cm⁻³: 8.05
DFT formation energy, eV/atom: -0.393
V, A^3/atom: 29.2

# 23
Material: PmTh2In3
Method: DFT, PBE
State: optimized geometry

Lattice parameters (Å, degrees): 3.535 3.535 13.678 90.00 90.00 90.00
Atoms (fractional coordinates):
Pm (0.000, 0.000, 0.000)
Th (0.000, 0.000, 0.332)
Th (0.000, 0.000, 0.668)
In (0.500, 0.500, 0.164)
In (0.500, 0.500, 0.500)
In (0.500, 0.500, 0.836)

Properties
Calculated density, g cm⁻³: 9.26
DFT formation energy, eV/atom: -0.352
V, A^3/atom: 28.5